Density functional theory data (GGA+U) for RbNiAg2F6 after structural relaxation.

The calculation puts the calculated total energy at -3.7471 eV per atom. The calculated volume is 15.15 Å³ per atom. The theoretical density comes out at 5.193 g/cm3. The calculation puts the magnetization at 12.1 Bohr magnetons per cell.

It has space group C2/c (No. 15), with a = 10.548 Å, b = 8.205 Å, c = 7.296 Å, α = 90.00°, β = 106.28° and γ = 90.00°. The inequivalent atoms are Rb at (0.000, 0.249, 0.250), Ni at (0.000, 0.251, 0.750), Ag at (0.250, 0.001, 0.751), F at (0.104, 0.071, 0.915), F at (0.104, 0.431, 0.915) and F at (0.163, 0.250, 0.637).